1.
A relaxed LaLuSb crystal, computed with GGA-PBE.

a b c (Å): 5.3261 5.3261 5.3261
angles (deg): 60.00 60.00 60.00
Fractional coordinates of all 3 atoms:
La  0.0000  0.0000  0.0000
Lu  0.7500  0.7500  0.7500
Sb  0.2500  0.2500  0.2500

2.
A relaxed LaLuSb crystal, computed with GGA-PBE.

a b c (Å): 5.1690 5.1690 5.1690
angles (deg): 60.00 60.00 60.00
Fractional coordinates of all 3 atoms:
La  0.0000  0.0000  0.0000
Lu  0.5000  0.5000  0.5000
Sb  0.2500  0.2500  0.2500

no.,energy (eV per atom)
1,-4.420
2,-5.029